Entry 1:
NaErAu2: relaxed, PBE-GGA.

Output
Formation enthalpy at 0 K ... -2.472 eV per formula unit
Raw total energy ... -14.91 eV per cell

Structure (CIF):
```
data_NaErAu2
_space_group_name_H-M_alt 'P 4/m m m'
_space_group_IT_number 123
_space_group_name_Hall '-P 4 2'
_cell_length_a 3.554
_cell_length_b 3.554
_cell_length_c 7.363
_cell_angle_alpha 90.00
_cell_angle_beta 90.00
_cell_angle_gamma 90.00
loop_
_atom_site_label
_atom_site_type_symbol
_atom_site_fract_x
_atom_site_fract_y
_atom_site_fract_z
Na1 Na 0.000 0.000 0.000
Er1 Er 0.000 0.000 0.500
Au1 Au 0.500 0.500 0.281
```


Entry 2:
Sm6Bi3Te: relaxed, PBE-GGA.

Output
Raw total energy ... -100.84 eV per cell
Raw formation energy ... -0.73 eV per atom

Structure (CIF):
```
data_Sm6Bi3Te
_space_group_name_H-M_alt 'P 1 21/c 1'
_space_group_IT_number 14
_cell_length_a 7.458
_cell_length_b 8.557
_cell_length_c 12.842
_cell_angle_alpha 90.00
_cell_angle_beta 125.14
_cell_angle_gamma 90.00
loop_
_space_group_symop_operation_xyz
'x,y,z'
'-x,-y,-z'
'-x,y+1/2,-z+1/2'
'x,-y+1/2,z+1/2'
loop_
_atom_site_label
_atom_site_type_symbol
_atom_site_fract_x
_atom_site_fract_y
_atom_site_fract_z
Sm1 Sm 0.050 0.060 0.252
Sm2 Sm 0.204 0.668 0.060
Sm3 Sm 0.421 0.173 0.062
Bi1 Bi 0.000 0.000 0.000
Bi2 Bi 0.317 0.133 0.751
Te1 Te 0.500 0.000 0.500
```


Entry 3:
TbCd5Ag6: relaxed, PBE-GGA.

Output
Formation enthalpy at 0 K ... -1.180 eV per formula unit
Raw total energy ... -54.99 eV per cell
Excess energy over the best structure of this formula in the dataset ... 0 meV per atom

Structure (CIF):
```
data_TbCd5Ag6
_space_group_name_H-M_alt 'C 1 2/m 1'
_space_group_IT_number 12
_cell_length_a 4.808
_cell_length_b 14.181
_cell_length_c 7.109
_cell_angle_alpha 90.00
_cell_angle_beta 90.06
_cell_angle_gamma 90.00
loop_
_space_group_symop_operation_xyz
'x,y,z'
'-x,-y,-z'
'-x,y,-z'
'x,-y,z'
'x+1/2,y+1/2,z'
'-x+1/2,-y+1/2,-z'
'-x+1/2,y+1/2,-z'
'x+1/2,-y+1/2,z'
loop_
_atom_site_label
_atom_site_type_symbol
_atom_site_fract_x
_atom_site_fract_y
_atom_site_fract_z
Tb1 Tb 0.000 0.000 0.000
Cd1 Cd 0.000 0.000 0.500
Cd2 Cd 0.000 0.334 0.000
Cd3 Cd 0.000 0.338 0.500
Ag1 Ag 0.000 0.172 0.258
Ag2 Ag 0.000 0.500 0.257
```


Entry 4:
PrEuTl2: relaxed, PBE-GGA.

Output
Formation enthalpy at 0 K ... -1.637 eV per formula unit
Raw total energy ... -21.42 eV per cell
Excess energy over the best structure of this formula in the dataset ... 0 meV per atom

Structure (CIF):
```
data_PrEuTl2
_space_group_name_H-M_alt 'P 4/m m m'
_space_group_IT_number 123
_space_group_name_Hall '-P 4 2'
_cell_length_a 3.944
_cell_length_b 3.944
_cell_length_c 7.974
_cell_angle_alpha 90.00
_cell_angle_beta 90.00
_cell_angle_gamma 90.00
loop_
_atom_site_label
_atom_site_type_symbol
_atom_site_fract_x
_atom_site_fract_y
_atom_site_fract_z
Pr1 Pr 0.000 0.000 0.000
Eu1 Eu 0.000 0.000 0.500
Tl1 Tl 0.500 0.500 0.246
```


Entry 5:
Ba2TiSb5: relaxed, PBE-GGA.

Output
Raw total energy ... -71.95 eV per cell
Raw formation energy ... -0.45 eV per atom

Structure (CIF):
```
data_Ba2TiSb5
_space_group_name_H-M_alt 'I m m 2'
_space_group_IT_number 44
_cell_length_a 7.267
_cell_length_b 7.277
_cell_length_c 10.252
_cell_angle_alpha 90.00
_cell_angle_beta 90.00
_cell_angle_gamma 90.00
loop_
_space_group_symop_operation_xyz
'x,y,z'
'-x,-y,z'
'-x,y,z'
'x,-y,z'
'x+1/2,y+1/2,z+1/2'
'-x+1/2,-y+1/2,z+1/2'
'-x+1/2,y+1/2,z+1/2'
'x+1/2,-y+1/2,z+1/2'
loop_
_atom_site_label
_atom_site_type_symbol
_atom_site_fract_x
_atom_site_fract_y
_atom_site_fract_z
Ba1 Ba 0.000 0.000 0.000
Ba2 Ba 0.000 0.000 0.500
Ti1 Ti 0.000 0.500 0.268
Sb1 Sb 0.000 0.500 0.536
Sb2 Sb 0.235 0.265 0.754
```


Entry 6:
SrBeC2: relaxed, PBE-GGA.

Output
Formation enthalpy at 0 K ... 2.881 eV per formula unit
Raw total energy ... -83.90 eV per cell

Structure (CIF):
```
data_SrBeC2
_space_group_name_H-M_alt 'I 41/a m d'
_space_group_IT_number 141
_cell_length_a 4.114
_cell_length_b 4.114
_cell_length_c 12.062
_cell_angle_alpha 90.00
_cell_angle_beta 90.00
_cell_angle_gamma 90.00
loop_
_space_group_symop_operation_xyz
'x,y,z'
'-x,-y,-z'
'-y+1/4,x+3/4,z+1/4'
'y+1/4,-x+3/4,-z+1/4'
'-x+1/2,-y,z+1/2'
'x+1/2,y,-z+1/2'
'y+1/4,-x+1/4,z+3/4'
'-y+1/4,x+1/4,-z+3/4'
'x,-y,-z'
'-x,y,z'
'-y+1/4,-x+1/4,-z+3/4'
'y+1/4,x+1/4,z+3/4'
'-x+1/2,y,-z+1/2'
'x+1/2,-y,z+1/2'
'y+1/4,x+3/4,-z+1/4'
'-y+1/4,-x+3/4,z+1/4'
'x+1/2,y+1/2,z+1/2'
'-x+1/2,-y+1/2,-z+1/2'
'-y+3/4,x+1/4,z+3/4'
'y+3/4,-x+1/4,-z+3/4'
'-x,-y+1/2,z'
'x,y+1/2,-z'
'y+3/4,-x+3/4,z+1/4'
'-y+3/4,x+3/4,-z+1/4'
'x+1/2,-y+1/2,-z+1/2'
'-x+1/2,y+1/2,z+1/2'
'-y+3/4,-x+3/4,-z+1/4'
'y+3/4,x+3/4,z+1/4'
'-x,y+1/2,-z'
'x,-y+1/2,z'
'y+3/4,x+1/4,-z+3/4'
'-y+3/4,-x+1/4,z+3/4'
loop_
_atom_site_label
_atom_site_type_symbol
_atom_site_fract_x
_atom_site_fract_y
_atom_site_fract_z
Sr1 Sr 0.000 0.250 0.375
Be1 Be 0.000 0.250 0.875
C1 C 0.000 0.000 0.000
```


The highest raw total energy belongs to which entry? NaErAu2